Version a
Density functional theory data (PBE-GGA) for an optimized crystal structure of Tb6Ho2Er.

Properties
size of the total moment	0.000	μB per cell

a = 3.542 Å, b = 8.663 Å, c = 9.358 Å
α = 90.03°, β = 100.85°, γ = 90.07°
Space group P-1 (No. 2)
Unique sites:
Tb1 0.111 0.166 0.221 (multiplicity 2)
Tb2 0.222 0.833 0.444 (multiplicity 2)
Tb3 0.334 0.500 0.668 (multiplicity 2)
Ho1 0.445 0.167 0.890 (multiplicity 2)
Er1 0.000 0.500 0.000 (multiplicity 1)

Version b
Density functional theory data (PBE-GGA) for an optimized crystal structure of Tb6Ho2Er.

Properties
size of the total moment	0.000	μB per cell

a = 12.719 Å, b = 14.169 Å, c = 6.544 Å
α = 90.00°, β = 104.37°, γ = 90.00°
Space group C2/c (No. 15)
Unique sites:
Tb1 0.036 0.184 0.004 (multiplicity 8)
Tb2 0.133 0.412 0.817 (multiplicity 8)
Tb3 0.239 0.201 0.725 (multiplicity 8)
Ho1 0.142 0.023 0.367 (multiplicity 8)
Er1 0.000 0.380 0.250 (multiplicity 4)

version a is preferred energetically. Next in line: 0.096 eV/atom higher.

Version a
Density functional theory data (PBE-GGA) for an optimized crystal structure of Tb2Ho3Er2.

Properties
size of the total moment	0.002	μB per cell

a = 17.249 Å, b = 3.473 Å, c = 8.434 Å
α = 90.00°, β = 119.17°, γ = 90.00°
Space group C2/m (No. 12)
Unique sites:
Tb1 0.066 0.000 0.410 (multiplicity 4)
Ho1 0.000 0.500 0.000 (multiplicity 2)
Ho2 0.212 0.500 0.300 (multiplicity 4)
Er1 0.148 0.500 0.827 (multiplicity 4)

Version b
Density functional theory data (PBE-GGA) for an optimized crystal structure of Tb2Ho3Er2.

Properties
size of the total moment	0.000	μB per cell

a = 3.516 Å, b = 6.096 Å, c = 10.577 Å
α = 84.39°, β = 89.88°, γ = 73.24°
Space group P-1 (No. 2)
Unique sites:
Tb1 0.215 0.071 0.357 (multiplicity 2)
Ho1 0.357 0.786 0.929 (multiplicity 2)
Ho2 0.500 0.500 0.500 (multiplicity 1)
Er1 0.071 0.358 0.787 (multiplicity 2)

version b is preferred energetically. Next in line: 0.097 eV/atom higher.

Version a
Density functional theory data (PBE-GGA) for an optimized crystal structure of TbHo4Er2.

Properties
size of the total moment	0.000	μB per cell

a = 6.022 Å, b = 6.508 Å, c = 11.430 Å
α = 90.00°, β = 104.53°, γ = 90.00°
Space group P2_1/m (No. 11)
Unique sites:
Tb1 0.028 0.250 0.358 (multiplicity 2)
Ho1 0.152 0.250 0.659 (multiplicity 2)
Ho2 0.284 0.750 0.927 (multiplicity 2)
Ho3 0.348 0.505 0.211 (multiplicity 4)
Er1 0.153 0.250 0.944 (multiplicity 2)
Er2 0.398 0.750 0.505 (multiplicity 2)

Version b
Density functional theory data (PBE-GGA) for an optimized crystal structure of TbHo4Er2.

Properties
size of the total moment	0.002	μB per cell

a = 3.5464 Å, b = 3.5464 Å, c = 19.8015 Å
α = 90.00°, β = 90.00°, γ = 120.00°
Space group P3m1 (No. 156)
Unique sites:
Tb1 0.0000 0.0000 0.0000 (multiplicity 1)
Ho1 0.3333 0.6667 0.2884 (multiplicity 1)
Ho2 0.3333 0.6667 0.5723 (multiplicity 1)
Ho3 0.6667 0.3333 0.1446 (multiplicity 1)
Ho4 0.6667 0.3333 0.8568 (multiplicity 1)
Er1 0.0000 0.0000 0.4310 (multiplicity 1)
Er2 0.0000 0.0000 0.7147 (multiplicity 1)

version b is preferred energetically. Next in line: 0.135 eV/atom higher.

Version a
Density functional theory data (PBE-GGA) for an optimized crystal structure of TbHo5Er4.

Properties
size of the total moment	0.000	μB per cell

a = 6.209 Å, b = 6.635 Å, c = 9.094 Å
α = 107.61°, β = 90.01°, γ = 117.90°
Space group P1 (No. 1)
Unique sites:
Tb1 0.000 0.000 0.000 (multiplicity 1)
Ho1 0.133 0.600 0.100 (multiplicity 1)
Ho2 0.401 0.800 0.799 (multiplicity 1)
Ho3 0.532 0.399 0.900 (multiplicity 1)
Ho4 0.733 0.799 0.301 (multiplicity 1)
Ho5 0.800 0.600 0.600 (multiplicity 1)
Er1 0.200 0.400 0.400 (multiplicity 1)
Er2 0.333 0.000 0.500 (multiplicity 1)
Er3 0.601 0.200 0.201 (multiplicity 1)
Er4 0.933 0.200 0.699 (multiplicity 1)

Version b
Density functional theory data (PBE-GGA) for an optimized crystal structure of TbHo5Er4.

Properties
size of the total moment	0.000	μB per cell

a = 6.084 Å, b = 7.018 Å, c = 7.855 Å
α = 77.13°, β = 75.07°, γ = 73.08°
Space group P1 (No. 1)
Unique sites:
Tb1 0.000 0.000 0.000 (multiplicity 1)
Ho1 0.000 0.500 0.000 (multiplicity 1)
Ho2 0.200 0.800 0.599 (multiplicity 1)
Ho3 0.400 0.100 0.200 (multiplicity 1)
Ho4 0.600 0.400 0.799 (multiplicity 1)
Ho5 0.600 0.900 0.799 (multiplicity 1)
Er1 0.200 0.300 0.599 (multiplicity 1)
Er2 0.400 0.600 0.200 (multiplicity 1)
Er3 0.800 0.200 0.400 (multiplicity 1)
Er4 0.800 0.700 0.400 (multiplicity 1)

version a is preferred energetically. Next in line: 0.020 eV/atom higher.

Version a
Density functional theory data (PBE-GGA) for an optimized crystal structure of Tb3Ho2Er3.

Properties
size of the total moment	0.001	μB per cell

a = 5.581 Å, b = 14.433 Å, c = 6.240 Å
α = 90.00°, β = 90.00°, γ = 90.00°
Space group Pmmn (No. 59, origin choice 2)
Unique sites:
Tb1 0.250 0.125 0.167 (multiplicity 4)
Tb2 0.250 0.750 0.666 (multiplicity 2)
Ho1 0.250 0.625 0.167 (multiplicity 4)
Er1 0.250 0.000 0.666 (multiplicity 4)
Er2 0.250 0.250 0.667 (multiplicity 2)

Version b
Density functional theory data (PBE-GGA) for an optimized crystal structure of Tb3Ho2Er3.

Properties
size of the total moment	0.001	μB per cell

a = 4.979 Å, b = 4.982 Å, c = 19.948 Å
α = 90.00°, β = 90.00°, γ = 90.00°
Space group Immm (No. 71)
Unique sites:
Tb1 0.000 0.000 0.000 (multiplicity 2)
Tb2 0.000 0.500 0.125 (multiplicity 4)
Ho1 0.000 0.000 0.250 (multiplicity 4)
Er1 0.000 0.000 0.500 (multiplicity 2)
Er2 0.000 0.500 0.375 (multiplicity 4)

version a is preferred energetically. Next in line: 0.016 eV/atom higher.

Version a
Density functional theory data (PBE-GGA) for an optimized crystal structure of Tb6HoEr2.

Properties
size of the total moment	0.000	μB per cell

a = 12.705 Å, b = 14.159 Å, c = 6.540 Å
α = 90.00°, β = 104.20°, γ = 90.00°
Space group C2/c (No. 15)
Unique sites:
Tb1 0.036 0.184 0.003 (multiplicity 8)
Tb2 0.134 0.412 0.817 (multiplicity 8)
Tb3 0.239 0.200 0.725 (multiplicity 8)
Ho1 0.000 0.380 0.250 (multiplicity 4)
Er1 0.142 0.023 0.367 (multiplicity 8)

Version b
Density functional theory data (PBE-GGA) for an optimized crystal structure of Tb6HoEr2.

Properties
size of the total moment	0.000	μB per cell

a = 3.540 Å, b = 8.657 Å, c = 9.354 Å
α = 90.01°, β = 100.83°, γ = 90.09°
Space group P-1 (No. 2)
Unique sites:
Tb1 0.110 0.166 0.221 (multiplicity 2)
Tb2 0.222 0.834 0.443 (multiplicity 2)
Tb3 0.334 0.500 0.668 (multiplicity 2)
Ho1 0.000 0.500 0.000 (multiplicity 1)
Er1 0.444 0.167 0.890 (multiplicity 2)

version b is preferred energetically. Next in line: 0.095 eV/atom higher.